Record 1
Density functional theory data (PBE) for a relaxed structure of GdYGa2Pd4.

```
data_GdYGa2Pd4
_cell_length_a 4.4083
_cell_length_b 4.4083
_cell_length_c 9.1014
_cell_angle_alpha 90.00
_cell_angle_beta 90.00
_cell_angle_gamma 120.00
_symmetry_space_group_name_H-M 'P -6 m 2'
_symmetry_Int_Tables_number 187
_symmetry_space_group_name_Hall 'P -6 2'
loop_
_atom_site_label
_atom_site_fract_x
_atom_site_fract_y
_atom_site_fract_z
_atom_site_occupancy
Gd1 0.0000 0.0000 0.0000 1
Y1 0.3333 0.6667 0.5000 1
Ga1 0.6667 0.3333 0.2512 1
Pd1 0.0000 0.0000 0.3318 1
Pd2 0.3333 0.6667 0.1692 1
```

Calculated values
DFT total energy   -5.623 eV per atom
Calculated density   8.8 Mg/m³

=====

Record 2
Density functional theory data (PBE) for a relaxed structure of GdZnGa2Pd4.

```
data_GdZnGa2Pd4
_cell_length_a 4.529
_cell_length_b 4.529
_cell_length_c 6.499
_cell_angle_alpha 90.00
_cell_angle_beta 90.00
_cell_angle_gamma 90.00
_symmetry_space_group_name_H-M 'P 4/m m m'
_symmetry_Int_Tables_number 123
_symmetry_space_group_name_Hall '-P 4 2'
loop_
_atom_site_label
_atom_site_fract_x
_atom_site_fract_y
_atom_site_fract_z
_atom_site_occupancy
Gd1 0.000 0.000 0.000 1
Zn1 0.500 0.500 0.500 1
Ga1 0.000 0.000 0.500 1
Ga2 0.500 0.500 0.000 1
Pd1 0.000 0.500 0.276 1
```

Calculated values
DFT total energy   -4.741 eV per atom
Calculated density   9.8 Mg/m³

=====

Record 3
Density functional theory data (PBE) for a relaxed structure of PrGdGa.

```
data_PrGdGa
_cell_length_a 7.176
_cell_length_b 7.176
_cell_length_c 7.176
_cell_angle_alpha 90.00
_cell_angle_beta 90.00
_cell_angle_gamma 90.00
_symmetry_space_group_name_H-M 'F -4 3 m'
_symmetry_Int_Tables_number 216
_symmetry_space_group_name_Hall 'F -4 2 3'
loop_
_atom_site_label
_atom_site_fract_x
_atom_site_fract_y
_atom_site_fract_z
_atom_site_occupancy
Pr1 0.000 0.000 0.000 1
Gd1 0.000 0.000 0.500 1
Ga1 0.250 0.250 0.750 1
```

Calculated values
DFT total energy   -4.387 eV per atom
Calculated density   6.6 Mg/m³
Relative energy among the computed polymorphs   0.0000 eV per atom

=====

Record 4
Density functional theory data (PBE) for a relaxed structure of PrGdGa2Pt4.

```
data_PrGdGa2Pt4
_cell_length_a 4.4174
_cell_length_b 4.4174
_cell_length_c 9.3900
_cell_angle_alpha 90.00
_cell_angle_beta 90.00
_cell_angle_gamma 120.00
_symmetry_space_group_name_H-M 'P -6 m 2'
_symmetry_Int_Tables_number 187
_symmetry_space_group_name_Hall 'P -6 2'
loop_
_atom_site_label
_atom_site_fract_x
_atom_site_fract_y
_atom_site_fract_z
_atom_site_occupancy
Pr1 0.0000 0.0000 0.0000 1
Gd1 0.3333 0.6667 0.5000 1
Ga1 0.6667 0.3333 0.2540 1
Pt1 0.0000 0.0000 0.3366 1
Pt2 0.3333 0.6667 0.1781 1
```

Calculated values
DFT total energy   -5.969 eV per atom
Calculated density   12.7 Mg/m³

=====

Record 5
Density functional theory data (PBE) for a relaxed structure of PrGdZn2Ga2.

```
data_PrGdZn2Ga2
_cell_length_a 4.4745
_cell_length_b 4.4745
_cell_length_c 7.4456
_cell_angle_alpha 90.00
_cell_angle_beta 90.00
_cell_angle_gamma 120.00
_symmetry_space_group_name_H-M 'P 3 m 1'
_symmetry_Int_Tables_number 156
loop_
_symmetry_equiv_pos_as_xyz
'x,y,z'
'-y,x-y,z'
'-x+y,-x,z'
'-y,-x,z'
'-x+y,y,z'
'x,x-y,z'
loop_
_atom_site_label
_atom_site_fract_x
_atom_site_fract_y
_atom_site_fract_z
_atom_site_occupancy
Pr1 0.0000 0.0000 0.0000 1
Gd1 0.0000 0.0000 0.4993 1
Zn1 0.3333 0.6667 0.7689 1
Zn2 0.6667 0.3333 0.2931 1
Ga1 0.3333 0.6667 0.2305 1
Ga2 0.6667 0.3333 0.7099 1
```

Calculated values
DFT total energy   -3.578 eV per atom
Calculated density   7.3 Mg/m³

=====

Record 6
Density functional theory data (PBE) for a relaxed structure of GdGa2Pt.

```
data_GdGa2Pt
_cell_length_a 4.215
_cell_length_b 18.370
_cell_length_c 4.152
_cell_angle_alpha 90.00
_cell_angle_beta 90.00
_cell_angle_gamma 90.00
_symmetry_space_group_name_H-M 'C m m m'
_symmetry_Int_Tables_number 65
_symmetry_space_group_name_Hall '-C 2 2'
loop_
_atom_site_label
_atom_site_fract_x
_atom_site_fract_y
_atom_site_fract_z
_atom_site_occupancy
Gd1 0.000 0.145 0.000 1
Ga1 0.000 0.000 0.500 1
Ga2 0.000 0.285 0.500 1
Ga3 0.000 0.500 0.000 1
Pt1 0.000 0.419 0.500 1
```

Calculated values
DFT total energy   -5.039 eV per atom
Calculated density   10.2 Mg/m³

=====

Record 7
Density functional theory data (PBE) for a relaxed structure of TbGdGa4Pt2.

```
data_TbGdGa4Pt2
_cell_length_a 6.743
_cell_length_b 4.370
_cell_length_c 10.248
_cell_angle_alpha 90.00
_cell_angle_beta 90.00
_cell_angle_gamma 90.00
_symmetry_space_group_name_H-M 'A m m 2'
_symmetry_Int_Tables_number 38
loop_
_symmetry_equiv_pos_as_xyz
'x,y,z'
'-x,-y,z'
'-x,y,z'
'x,-y,z'
'x,y+1/2,z+1/2'
'-x,-y+1/2,z+1/2'
'-x,y+1/2,z+1/2'
'x,-y+1/2,z+1/2'
loop_
_atom_site_label
_atom_site_fract_x
_atom_site_fract_y
_atom_site_fract_z
_atom_site_occupancy
Tb1 0.000 0.000 0.000 1
Gd1 0.500 0.000 0.835 1
Ga1 0.197 0.000 0.285 1
Ga2 0.302 0.000 0.549 1
Pt1 0.000 0.000 0.712 1
Pt2 0.500 0.000 0.123 1
```

Calculated values
DFT total energy   -5.115 eV per atom
Calculated density   10.8 Mg/m³

=====

Record 8
Density functional theory data (PBE) for a relaxed structure of GdTmGa2Pt4.

```
data_GdTmGa2Pt4
_cell_length_a 4.3846
_cell_length_b 4.3846
_cell_length_c 9.0980
_cell_angle_alpha 90.00
_cell_angle_beta 90.00
_cell_angle_gamma 120.00
_symmetry_space_group_name_H-M 'P -6 m 2'
_symmetry_Int_Tables_number 187
_symmetry_space_group_name_Hall 'P -6 2'
loop_
_atom_site_label
_atom_site_fract_x
_atom_site_fract_y
_atom_site_fract_z
_atom_site_occupancy
Gd1 0.0000 0.0000 0.0000 1
Tm1 0.3333 0.6667 0.5000 1
Ga1 0.6667 0.3333 0.2511 1
Pt1 0.0000 0.0000 0.3393 1
Pt2 0.3333 0.6667 0.1685 1
```

Calculated values
DFT total energy   -5.992 eV per atom
Calculated density   13.7 Mg/m³

=====

Record 9
Density functional theory data (PBE) for a relaxed structure of GdYGa4Pt2.

```
data_GdYGa4Pt2
_cell_length_a 6.743
_cell_length_b 4.372
_cell_length_c 10.251
_cell_angle_alpha 90.00
_cell_angle_beta 90.00
_cell_angle_gamma 90.00
_symmetry_space_group_name_H-M 'A m m 2'
_symmetry_Int_Tables_number 38
loop_
_symmetry_equiv_pos_as_xyz
'x,y,z'
'-x,-y,z'
'-x,y,z'
'x,-y,z'
'x,y+1/2,z+1/2'
'-x,-y+1/2,z+1/2'
'-x,y+1/2,z+1/2'
'x,-y+1/2,z+1/2'
loop_
_atom_site_label
_atom_site_fract_x
_atom_site_fract_y
_atom_site_fract_z
_atom_site_occupancy
Gd1 0.000 0.000 0.000 1
Y1 0.500 0.000 0.164 1
Ga1 0.198 0.000 0.714 1
Ga2 0.303 0.000 0.449 1
Pt1 0.000 0.000 0.288 1
Pt2 0.500 0.000 0.876 1
```

Calculated values
DFT total energy   -5.348 eV per atom
Calculated density   10.1 Mg/m³

=====

Record 10
Density functional theory data (PBE) for a relaxed structure of GdYGa2Pt4.

```
data_GdYGa2Pt4
_cell_length_a 4.3979
_cell_length_b 4.3979
_cell_length_c 9.1549
_cell_angle_alpha 90.00
_cell_angle_beta 90.00
_cell_angle_gamma 120.00
_symmetry_space_group_name_H-M 'P -6 m 2'
_symmetry_Int_Tables_number 187
_symmetry_space_group_name_Hall 'P -6 2'
loop_
_atom_site_label
_atom_site_fract_x
_atom_site_fract_y
_atom_site_fract_z
_atom_site_occupancy
Gd1 0.0000 0.0000 0.0000 1
Y1 0.6667 0.3333 0.5000 1
Ga1 0.3333 0.6667 0.2505 1
Pt1 0.0000 0.0000 0.3351 1
Pt2 0.6667 0.3333 0.1666 1
```

Calculated values
DFT total energy   -6.226 eV per atom
Calculated density   12.6 Mg/m³

=====

Record 11
Density functional theory data (PBE) for a relaxed structure of GdPuGa.

```
data_GdPuGa
_cell_length_a 6.907
_cell_length_b 6.907
_cell_length_c 6.907
_cell_angle_alpha 90.00
_cell_angle_beta 90.00
_cell_angle_gamma 90.00
_symmetry_space_group_name_H-M 'F -4 3 m'
_symmetry_Int_Tables_number 216
_symmetry_space_group_name_Hall 'F -4 2 3'
loop_
_atom_site_label
_atom_site_fract_x
_atom_site_fract_y
_atom_site_fract_z
_atom_site_occupancy
Gd1 0.000 0.000 0.000 1
Pu1 0.250 0.250 0.750 1
Ga1 0.000 0.000 0.500 1
```

Calculated values
DFT total energy   -6.972 eV per atom
Calculated density   9.5 Mg/m³

=====

Record 12
Density functional theory data (PBE) for a relaxed structure of RbGdGaSe3.

```
data_RbGdGaSe3
_cell_length_a 4.578
_cell_length_b 14.885
_cell_length_c 11.061
_cell_angle_alpha 90.00
_cell_angle_beta 90.00
_cell_angle_gamma 90.00
_symmetry_space_group_name_H-M 'C m c m'
_symmetry_Int_Tables_number 63
_symmetry_space_group_name_Hall '-C 2c 2'
loop_
_atom_site_label
_atom_site_fract_x
_atom_site_fract_y
_atom_site_fract_z
_atom_site_occupancy
Rb1 0.000 0.247 0.250 1
Gd1 0.000 0.500 0.000 1
Ga1 0.000 0.017 0.750 1
Se1 0.000 0.119 0.565 1
Se2 0.000 0.439 0.750 1
```

Calculated values
DFT total energy   -4.426 eV per atom
Calculated density   4.8 Mg/m³

=====

Record 13
Density functional theory data (PBE) for a relaxed structure of RbGdGaTe3.

```
data_RbGdGaTe3
_cell_length_a 12.266
_cell_length_b 5.058
_cell_length_c 13.341
_cell_angle_alpha 90.00
_cell_angle_beta 90.00
_cell_angle_gamma 90.00
_symmetry_space_group_name_H-M 'P n m a'
_symmetry_Int_Tables_number 62
loop_
_symmetry_equiv_pos_as_xyz
'x,y,z'
'-x,-y,-z'
'-x+1/2,-y,z+1/2'
'x+1/2,y,-z+1/2'
'x+1/2,-y+1/2,-z+1/2'
'-x+1/2,y+1/2,z+1/2'
'-x,y+1/2,-z'
'x,-y+1/2,z'
loop_
_atom_site_label
_atom_site_fract_x
_atom_site_fract_y
_atom_site_fract_z
_atom_site_occupancy
Rb1 0.184 0.250 0.009 1
Gd1 0.023 0.250 0.322 1
Ga1 0.239 0.250 0.721 1
Te1 0.046 0.750 0.172 1
Te2 0.089 0.250 0.562 1
Te3 0.213 0.750 0.798 1
```

Calculated values
DFT total energy   -3.942 eV per atom
Calculated density   5.6 Mg/m³
Relative energy among the computed polymorphs   0.0257 eV per atom

=====

Record 14
Density functional theory data (PBE) for a relaxed structure of RbGdGaTe3.

```
data_RbGdGaTe3
_cell_length_a 4.839
_cell_length_b 15.830
_cell_length_c 11.787
_cell_angle_alpha 90.00
_cell_angle_beta 90.00
_cell_angle_gamma 90.00
_symmetry_space_group_name_H-M 'C m c m'
_symmetry_Int_Tables_number 63
_symmetry_space_group_name_Hall '-C 2c 2'
loop_
_atom_site_label
_atom_site_fract_x
_atom_site_fract_y
_atom_site_fract_z
_atom_site_occupancy
Rb1 0.000 0.250 0.250 1
Gd1 0.000 0.000 0.000 1
Ga1 0.000 0.480 0.750 1
Te1 0.000 0.065 0.750 1
Te2 0.000 0.376 0.561 1
```

Calculated values
DFT total energy   -3.968 eV per atom
Calculated density   5.1 Mg/m³
Relative energy among the computed polymorphs   0.0000 eV per atom

=====

Record 15
Density functional theory data (PBE) for a relaxed structure of GdGa3S.

```
data_GdGa3S
_cell_length_a 4.857
_cell_length_b 4.857
_cell_length_c 4.857
_cell_angle_alpha 90.00
_cell_angle_beta 90.00
_cell_angle_gamma 90.00
_symmetry_space_group_name_H-M 'P m -3 m'
_symmetry_Int_Tables_number 221
_symmetry_space_group_name_Hall '-P 4 2 3'
loop_
_atom_site_label
_atom_site_fract_x
_atom_site_fract_y
_atom_site_fract_z
_atom_site_occupancy
Gd1 0.000 0.000 0.000 1
Ga1 0.000 0.500 0.500 1
S1 0.500 0.500 0.500 1
```

Calculated values
DFT total energy   -3.498 eV per atom
Calculated density   5.8 Mg/m³

=====

Record 16
Density functional theory data (PBE) for a relaxed structure of SrGdGaS3.

```
data_SrGdGaS3
_cell_length_a 4.097
_cell_length_b 14.287
_cell_length_c 9.843
_cell_angle_alpha 90.00
_cell_angle_beta 90.00
_cell_angle_gamma 90.00
_symmetry_space_group_name_H-M 'C m c m'
_symmetry_Int_Tables_number 63
_symmetry_space_group_name_Hall '-C 2c 2'
loop_
_atom_site_label
_atom_site_fract_x
_atom_site_fract_y
_atom_site_fract_z
_atom_site_occupancy
Sr1 0.000 0.243 0.250 1
Gd1 0.000 0.000 0.000 1
Ga1 0.000 0.481 0.750 1
S1 0.000 0.109 0.750 1
S2 0.000 0.364 0.553 1
```

Calculated values
DFT total energy   -4.983 eV per atom
Calculated density   4.7 Mg/m³

=====

Record 17
Density functional theory data (PBE) for a relaxed structure of GdScGa.

```
data_GdScGa
_cell_length_a 6.827
_cell_length_b 6.827
_cell_length_c 6.827
_cell_angle_alpha 90.00
_cell_angle_beta 90.00
_cell_angle_gamma 90.00
_symmetry_space_group_name_H-M 'F -4 3 m'
_symmetry_Int_Tables_number 216
_symmetry_space_group_name_Hall 'F -4 2 3'
loop_
_atom_site_label
_atom_site_fract_x
_atom_site_fract_y
_atom_site_fract_z
_atom_site_occupancy
Gd1 0.000 0.000 0.000 1
Sc1 0.000 0.000 0.500 1
Ga1 0.250 0.250 0.250 1
```

Calculated values
DFT total energy   -4.914 eV per atom
Calculated density   5.7 Mg/m³
Relative energy among the computed polymorphs   0.0000 eV per atom

=====

Record 18
Density functional theory data (PBE) for a relaxed structure of GdScGa2.

```
data_GdScGa2
_cell_length_a 3.989
_cell_length_b 4.222
_cell_length_c 10.678
_cell_angle_alpha 90.00
_cell_angle_beta 90.00
_cell_angle_gamma 90.00
_symmetry_space_group_name_H-M 'A m m 2'
_symmetry_Int_Tables_number 38
loop_
_symmetry_equiv_pos_as_xyz
'x,y,z'
'-x,-y,z'
'-x,y,z'
'x,-y,z'
'x,y+1/2,z+1/2'
'-x,-y+1/2,z+1/2'
'-x,y+1/2,z+1/2'
'x,-y+1/2,z+1/2'
loop_
_atom_site_label
_atom_site_fract_x
_atom_site_fract_y
_atom_site_fract_z
_atom_site_occupancy
Gd1 0.000 0.000 0.000 1
Sc1 0.500 0.000 0.723 1
Ga1 0.000 0.000 0.278 1
Ga2 0.500 0.000 0.433 1
```

Calculated values
DFT total energy   -4.857 eV per atom
Calculated density   6.3 Mg/m³

=====

Record 19
Density functional theory data (PBE) for a relaxed structure of Gd2TmScGa2.

```
data_Gd2TmScGa2
_cell_length_a 5.0668
_cell_length_b 5.0668
_cell_length_c 6.5363
_cell_angle_alpha 90.00
_cell_angle_beta 90.00
_cell_angle_gamma 120.00
_symmetry_space_group_name_H-M 'P -6 m 2'
_symmetry_Int_Tables_number 187
_symmetry_space_group_name_Hall 'P -6 2'
loop_
_atom_site_label
_atom_site_fract_x
_atom_site_fract_y
_atom_site_fract_z
_atom_site_occupancy
Gd1 0.0000 0.0000 0.2431 1
Tm1 0.6667 0.3333 0.5000 1
Sc1 0.3333 0.6667 0.0000 1
Ga1 0.3333 0.6667 0.5000 1
Ga2 0.6667 0.3333 0.0000 1
```

Calculated values
DFT total energy   -4.760 eV per atom
Calculated density   7.6 Mg/m³

=====

Record 20
Density functional theory data (PBE) for a relaxed structure of SrGdGaSe3.

```
data_SrGdGaSe3
_cell_length_a 4.262
_cell_length_b 14.777
_cell_length_c 10.302
_cell_angle_alpha 90.00
_cell_angle_beta 90.00
_cell_angle_gamma 90.00
_symmetry_space_group_name_H-M 'C m c m'
_symmetry_Int_Tables_number 63
_symmetry_space_group_name_Hall '-C 2c 2'
loop_
_atom_site_label
_atom_site_fract_x
_atom_site_fract_y
_atom_site_fract_z
_atom_site_occupancy
Sr1 0.000 0.238 0.250 1
Gd1 0.000 0.000 0.000 1
Ga1 0.000 0.486 0.750 1
Se1 0.000 0.109 0.750 1
Se2 0.000 0.362 0.550 1
```

Calculated values
DFT total energy   -4.604 eV per atom
Calculated density   5.6 Mg/m³